{"formula": "Sc8P3Se4N", "functional": "GGA-PBE", "state": "optimized geometry", "lattice": [[7.436, 0.000, 0.000], [0.000, 7.589, 0.102], [-3.718, -3.713, 5.261]], "species": ["Sc", "Sc", "Sc", "Sc", "Sc", "Sc", "Sc", "Sc", "N", "Se", "Se", "Se", "Se", "P", "P", "P"], "fractional_positions": [[0.775, 0.289, 0.550], [0.258, 0.274, 0.516], [0.775, 0.289, 0.014], [0.225, 0.711, 0.450], [0.761, 0.711, 0.986], [0.225, 0.711, 0.986], [0.742, 0.726, 0.484], [0.239, 0.289, 0.014], [0.000, 0.500, 0.000], [0.500, 0.000, 0.000], [0.500, 0.000, 0.500], [0.000, 0.000, 0.000], [0.000, 0.000, 0.500], [0.500, 0.500, 0.000], [0.000, 0.500, 0.500], [0.500, 0.500, 0.500]], "energy_ev_per_atom": -7.1778, "raw_formation_energy_ev_per_atom": -1.61, "spacegroup": "R-3m, No. 166"}


{"formula": "ScPSe2N", "functional": "GGA-PBE", "state": "optimized geometry", "lattice": [[-1.890, 4.825, -0.523], [-3.862, -1.156, 3.297], [2.276, 1.227, 3.096]], "species": ["Se", "Se", "Sc", "P", "N"], "fractional_positions": [[0.000, 0.500, 0.000], [0.500, 0.000, 0.000], [0.000, 0.000, 0.000], [0.500, 0.500, 0.500], [0.000, 0.000, 0.500]], "energy_ev_per_atom": -4.9121, "raw_formation_energy_ev_per_atom": 0.50, "spacegroup": "P4/mmm, No. 123"}